A relaxed ErTcSn6 crystal, computed with PBE.

The structure belongs to space group R-3m (No. 166, hexagonal axes); the cell edges are 9.4026, 9.4026 and 8.2583 Å and the angles 90.00°, 90.00° and 120.00°. The inequivalent atoms are Er at (0.0000, 0.0000, 0.0000), Tc at (0.0000, 0.0000, 0.5000) and Sn at (0.0516, 0.5258, 0.3273).

The value obtained for the formation energy from the elements is -0.753 eV per formula unit. For the total magnetic moment, the calculation gives 0.000 μB per atom. The uncorrected energy is -4.962 eV/atom.

A relaxed Er12TcSn6 crystal, computed with PBE.

The structure belongs to space group R-3 (No. 148, hexagonal axes); the cell edges are 13.0465, 13.0465 and 12.0783 Å and the angles 90.00°, 90.00° and 120.00°. The inequivalent atoms are Er at (0.0315, 0.8361, 0.3916), Er at (0.0622, 0.8652, 0.8831), Tc at (0.0000, 0.0000, 0.0000) and Sn at (0.0459, 0.7644, 0.6416).

The value obtained for the formation energy from the elements is -6.162 eV per formula unit. For the total magnetic moment, the calculation gives 0.000 μB per atom. The uncorrected energy is -5.016 eV/atom.

A relaxed ErTcSn2 crystal, computed with PBE.

The structure belongs to space group R-3m (No. 166, hexagonal axes); the cell edges are 4.5737, 4.5737 and 14.5653 Å and the angles 90.00°, 90.00° and 120.00°. The inequivalent atoms are Er at (0.0000, 0.0000, 0.0000), Tc at (0.0000, 0.0000, 0.5000) and Sn at (0.0000, 0.0000, 0.2289).

Its energy above the most stable polymorph in this dataset is 0.02 eV per formula unit. The value obtained for the formation energy from the elements is -0.826 eV per formula unit. For the total magnetic moment, the calculation gives 0.000 μB per atom. The uncorrected energy is -5.940 eV/atom.

A relaxed Er3TcSn crystal, computed with PBE.

The structure belongs to space group P-1 (No. 2); the cell edges are 3.504, 8.512 and 8.961 Å and the angles 96.68°, 90.77° and 101.03°. The inequivalent atoms are Er at (0.061, 0.111, 0.200), Er at (0.257, 0.509, 0.798), Er at (0.372, 0.798, 0.438), Tc at (0.217, 0.401, 0.428) and Sn at (0.394, 0.784, 0.082).

The value obtained for the formation energy from the elements is -1.609 eV per formula unit. For the total magnetic moment, the calculation gives 0.000 μB per atom. The uncorrected energy is -5.933 eV/atom.

A relaxed ErTcSn2 crystal, computed with PBE.

The structure belongs to space group P4/mmm (No. 123); the cell edges are 3.384, 3.384 and 7.419 Å and the angles 90.00°, 90.00° and 90.00°. The inequivalent atoms are Er at (0.000, 0.000, 0.000), Tc at (0.000, 0.000, 0.500) and Sn at (0.500, 0.500, 0.293).

Its energy above the most stable polymorph in this dataset is 0.00 eV per formula unit. The value obtained for the formation energy from the elements is -0.841 eV per formula unit. For the total magnetic moment, the calculation gives 0.001 μB per atom. The uncorrected energy is -5.944 eV/atom.

A relaxed Er6Sn2Te crystal, computed with PBE.

The structure belongs to space group P-62m (No. 189); the cell edges are 8.3056, 8.3056 and 4.1747 Å and the angles 90.00°, 90.00° and 120.00°. The inequivalent atoms are Er at (0.0000, 0.3990, 0.0000), Er at (0.0000, 0.7298, 0.5000), Sn at (0.3333, 0.6667, 0.5000) and Te at (0.0000, 0.0000, 0.0000).

For the total magnetic moment, the calculation gives 0.000 μB per atom. The uncorrected energy is -4.898 eV/atom. The formation energy without anion corrections comes out at -617 meV per atom.

A relaxed Er2SnTe crystal, computed with PBE.

The structure belongs to space group R3m (No. 160, hexagonal axes); the cell edges are 4.3258, 4.3258 and 22.1856 Å and the angles 90.00°, 90.00° and 120.00°. The inequivalent atoms are Er at (0.0000, 0.0000, 0.0000), Er at (0.0000, 0.0000, 0.1804), Sn at (0.0000, 0.0000, 0.5916) and Te at (0.0000, 0.0000, 0.4214).

Its energy above the most stable polymorph in this dataset is 0.42 eV per formula unit. For the total magnetic moment, the calculation gives 0.000 μB per atom. The uncorrected energy is -4.977 eV/atom. The formation energy without anion corrections comes out at -910 meV per atom.

A relaxed Er8Sn2Te3 crystal, computed with PBE.

The structure belongs to space group C2/m (No. 12); the cell edges are 14.464, 8.327 and 6.701 Å and the angles 90.00°, 96.30° and 90.00°. The inequivalent atoms are Er at (0.093, 0.000, 0.369), Er at (0.121, 0.206, 0.874), Er at (0.169, 0.500, 0.352), Sn at (0.242, 0.500, 0.846), Te at (0.000, 0.297, 0.500) and Te at (0.000, 0.500, 0.000).

For the total magnetic moment, the calculation gives 0.000 μB per atom. The uncorrected energy is -4.726 eV/atom. The formation energy without anion corrections comes out at -577 meV per atom.